TaCd2Bi | PBE-GGA | optimized geometry

abc: 11.940 11.940 11.940
angles: 15.00 15.00 15.00
Atoms (fractional coordinates):
Ta  0.000  0.000  0.000
Cd  0.082  0.082  0.082
Cd  0.918  0.918  0.918
Bi  0.500  0.500  0.500

## Properties
The total DFT energy (no corrections) comes out at -3.714 eV/atom. The space-group type is R-3m. The magnetization comes out at 0.6 Bohr magnetons per cell. Its calculated density is 10.28 g cm⁻³. For the density of states at the Fermi level, the calculation gives 1.265 states/eV/atom. The formation energy from the elements comes out at 0.677 eV per atom.